a | First-principles (GGA-PBE) data for a relaxed BeCd2P crystal, as listed in Alexandria via LeMat-Bulk.

Cell: 6.665 6.665 6.665 Å, 90.00 90.00 90.00°
Sites, in units of the cell vectors:
Be1 0.000 0.000 0.000
Be2 0.000 0.500 0.500
Be3 0.500 0.000 0.500
Be4 0.500 0.500 0.000
Cd1 0.000 0.000 0.500
Cd2 0.000 0.500 0.000
Cd3 0.250 0.250 0.750
Cd4 0.250 0.750 0.250
Cd5 0.500 0.000 0.000
Cd6 0.500 0.500 0.500
Cd7 0.750 0.250 0.250
Cd8 0.750 0.750 0.750
P1 0.250 0.250 0.250
P2 0.250 0.750 0.750
P3 0.750 0.250 0.750
P4 0.750 0.750 0.250

## Properties
N(E_F) (states/eV per cell): 11.31

b | First-principles (GGA-PBE) data for a relaxed BeCd2P crystal, as listed in Alexandria via LeMat-Bulk.

Cell: 7.903 2.999 6.386 Å, 90.00 104.20 90.00°
Sites, in units of the cell vectors:
Be1 0.000 0.000 0.000
Be2 0.500 0.500 0.000
Cd1 0.233 0.500 0.229
Cd2 0.267 0.000 0.771
Cd3 0.733 0.000 0.229
Cd4 0.767 0.500 0.771
P1 0.000 0.500 0.500
P2 0.500 0.000 0.500

## Properties
N(E_F) (states/eV per cell): 2.19

c | First-principles (GGA-PBE) data for a relaxed BeCd2P crystal, as listed in Alexandria via LeMat-Bulk.

Cell: 3.517 3.827 11.590 Å, 90.00 90.00 90.00°
Sites, in units of the cell vectors:
Be1 0.000 0.000 0.000
Be2 0.500 0.500 0.500
Cd1 0.000 0.000 0.586
Cd2 0.000 0.500 0.782
Cd3 0.500 0.000 0.282
Cd4 0.500 0.500 0.086
P1 0.000 0.500 0.405
P2 0.500 0.000 0.905

## Properties
N(E_F) (states/eV per cell): 1.88

On energetic grounds, c is preferred over the next structure by 279 meV per atom.